(1)
DFT (PBE) results for Pu4Ga16Au3 after structural relaxation.

Calculated formation energy (kJ/mol of atoms): -34.1

Unit cell a=6.322 b=6.322 c=11.211 alpha=90.00 beta=90.00 gamma=90.00
Fractional positions:
Pu1 0.000 0.500 0.188
Pu2 0.000 0.500 0.812
Pu3 0.500 0.000 0.188
Pu4 0.500 0.000 0.812
Ga1 0.000 0.000 0.199
Ga2 0.000 0.000 0.801
Ga3 0.207 0.207 0.000
Ga4 0.207 0.793 0.000
Ga5 0.244 0.244 0.368
Ga6 0.244 0.244 0.632
Ga7 0.244 0.756 0.368
Ga8 0.244 0.756 0.632
Ga9 0.500 0.500 0.234
Ga10 0.500 0.500 0.766
Ga11 0.756 0.244 0.368
Ga12 0.756 0.244 0.632
Ga13 0.756 0.756 0.368
Ga14 0.756 0.756 0.632
Ga15 0.793 0.207 0.000
Ga16 0.793 0.793 0.000
Au1 0.000 0.500 0.500
Au2 0.500 0.000 0.500
Au3 0.500 0.500 0.000

***

(2)
DFT (PBE) results for Sc7Sn2Te2 after structural relaxation.

E_form (uncorrected) (eV per atom): -0.399

Unit cell a=6.642 b=6.642 c=6.626 alpha=90.00 beta=90.00 gamma=101.47
Fractional positions:
Sc1 0.000 0.000 0.000
Sc2 0.000 0.500 0.277
Sc3 0.000 0.500 0.723
Sc4 0.500 0.000 0.277
Sc5 0.500 0.000 0.723
Sc6 0.500 0.500 0.270
Sc7 0.500 0.500 0.730
Sn1 0.184 0.184 0.500
Sn2 0.816 0.816 0.500
Te1 0.280 0.720 0.000
Te2 0.720 0.280 0.000

***

(3)
DFT (PBE) results for HoPuPb6 after structural relaxation.

Calculated formation energy (kJ/mol of atoms): -20.7

Unit cell a=4.884 b=4.884 c=9.658 alpha=90.00 beta=90.00 gamma=90.00
Fractional positions:
Ho1 0.000 0.000 0.000
Pu1 0.000 0.000 0.500
Pb1 0.000 0.500 0.249
Pb2 0.000 0.500 0.751
Pb3 0.500 0.000 0.249
Pb4 0.500 0.000 0.751
Pb5 0.500 0.500 0.000
Pb6 0.500 0.500 0.500

***

| no. | DOS at the Fermi energy (states/eV/atom) | VASP energy (eV/atom) |
| --- | --- | --- |
| 1 | 1.43 | -5.379 |
| 2 | 1.23 | -5.727 |
| 3 | 1.70 | -5.360 |